Entry 1:
Computed, not measured: a relaxed Dy6Mg2NO crystal at the PBE level of DFT.

abc: 6.860 6.860 6.859
angles: 59.99 59.99 89.99
Positions (direct):
N (0.500, 0.500, 0.000)
Mg (0.250, 0.750, 0.500)
Mg (0.750, 0.250, 0.500)
Dy (0.748, 0.747, 0.000)
Dy (0.748, 0.748, 0.505)
Dy (0.252, 0.253, 0.000)
Dy (0.252, 0.252, 0.495)
Dy (0.253, 0.748, 0.000)
Dy (0.747, 0.252, 0.000)
O (0.000, 0.000, 0.000)

Output
Formation energy without anion corrections   -967.1 meV per atom
Crystal system   cubic

Entry 2:
Computed, not measured: a relaxed FeRu2Au crystal at the PBE level of DFT.

abc: 4.696 4.696 2.785
angles: 90.00 90.00 109.39
Positions (direct):
Au (0.500, 0.000, 0.500)
Ru (0.500, 0.500, 0.000)
Ru (0.000, 0.000, 0.000)
Fe (0.000, 0.500, 0.500)

Output
Crystal system   orthorhombic
Energy above the lowest structure with this stoichiometry   76 kJ/mol of formula units

Entry 3:
Computed, not measured: a relaxed HoZn3Rh4 crystal at the PBE level of DFT.

abc: 4.383 6.331 8.765
angles: 90.00 90.00 90.00
Positions (direct):
Zn (0.000, 0.000, 0.000)
Zn (0.000, 0.000, 0.500)
Zn (0.500, 0.000, 0.250)
Zn (0.500, 0.500, 0.750)
Zn (0.500, 0.500, 0.250)
Zn (0.500, 0.000, 0.750)
Rh (0.500, 0.769, 0.000)
Rh (0.000, 0.231, 0.250)
Rh (0.000, 0.769, 0.750)
Rh (0.000, 0.769, 0.250)
Rh (0.500, 0.769, 0.500)
Rh (0.500, 0.231, 0.000)
Rh (0.000, 0.231, 0.750)
Rh (0.500, 0.231, 0.500)
Ho (0.000, 0.500, 0.000)
Ho (0.000, 0.500, 0.500)

Output
Crystal system   tetragonal
DFT total energy   -42.103 eV/f.u.

Entry 4:
Computed, not measured: a relaxed YCdAs2 crystal at the PBE level of DFT.

abc: 5.410 5.410 4.471
angles: 65.59 65.59 48.78
Positions (direct):
As (0.500, 0.500, 0.500)
As (0.000, 0.000, 0.000)
Y (0.250, 0.250, 0.250)
Cd (0.750, 0.750, 0.750)

Output
Crystal system   tetragonal
DFT total energy   -18.489 eV/f.u.

Entry 5:
Computed, not measured: a relaxed MgScTa2 crystal at the PBE level of DFT.

abc: 5.852 5.852 5.852
angles: 149.08 127.29 62.37
Positions (direct):
Mg (0.490, 0.490, 0.000)
Sc (0.756, 0.256, 0.500)
Ta (0.016, 0.016, 0.000)
Ta (0.238, 0.738, 0.500)

Output
Crystal system   orthorhombic
DFT total energy   -30.289 eV/f.u.

Entry 6:
Computed, not measured: a relaxed K2MnSi crystal at the PBE level of DFT.

abc: 3.687 5.445 5.684
angles: 90.00 90.00 90.00
Positions (direct):
K (0.000, 0.000, 0.995)
K (0.000, 0.000, 0.505)
Si (0.500, 0.500, 0.750)
Mn (0.500, 0.500, 0.250)

Output
Formation energy without anion corrections   800.3 meV per atom
Crystal system   orthorhombic
Energy above the lowest structure with this stoichiometry   208 kJ/mol of formula units

Entry 7:
Computed, not measured: a relaxed NpFe2C2 crystal at the PBE level of DFT.

abc: 5.134 5.134 5.402
angles: 108.44 108.44 109.53
Positions (direct):
Fe (0.492, 0.742, 0.984)
Fe (0.758, 0.008, 0.516)
Fe (0.242, 0.992, 0.484)
Fe (0.508, 0.258, 0.016)
Np (0.125, 0.375, 0.250)
Np (0.875, 0.625, 0.750)
C (0.813, 0.687, 0.250)
C (0.187, 0.313, 0.750)
C (0.563, 0.937, 0.750)
C (0.437, 0.063, 0.250)

Output
Crystal system   orthorhombic
DFT total energy   -48.441 eV/f.u.

Entry 8:
Computed, not measured: a relaxed Tb3ThS6 crystal at the PBE level of DFT.

abc: 3.960 11.093 11.386
angles: 108.10 90.00 90.00
Positions (direct):
S (0.250, 0.257, 0.725)
S (0.750, 0.480, 0.614)
S (0.250, 0.082, 0.903)
S (0.250, 0.190, 0.251)
S (0.250, 0.603, 0.937)
S (0.250, 0.520, 0.386)
S (0.250, 0.885, 0.535)
S (0.750, 0.918, 0.097)
S (0.750, 0.810, 0.749)
S (0.750, 0.743, 0.275)
S (0.750, 0.397, 0.063)
S (0.750, 0.115, 0.465)
Tb (0.750, 0.432, 0.833)
Tb (0.250, 0.838, 0.918)
Tb (0.750, 0.679, 0.502)
Tb (0.250, 0.568, 0.167)
Tb (0.750, 0.162, 0.082)
Tb (0.250, 0.321, 0.498)
Th (0.750, 0.048, 0.695)
Th (0.250, 0.952, 0.305)

Output
Formation energy without anion corrections   -2057.3 meV per atom
Crystal system   monoclinic

Entry 9:
Computed, not measured: a relaxed InAgGe crystal at the PBE level of DFT.

abc: 4.205 5.264 6.807
angles: 78.95 72.01 66.45
Positions (direct):
Ag (0.343, 0.614, 0.699)
Ag (0.657, 0.386, 0.301)
Ge (0.340, 0.268, 0.053)
Ge (0.660, 0.732, 0.947)
In (0.080, 0.198, 0.642)
In (0.920, 0.802, 0.358)

Output
Crystal system   monoclinic
DFT total energy   -9.867 eV/f.u.

Entry 10:
Computed, not measured: a relaxed LiPuPb6 crystal at the PBE level of DFT.

abc: 3.557 9.416 6.921
angles: 90.15 90.00 90.00
Positions (direct):
Pu (0.500, 0.000, 0.000)
Pb (0.000, 0.743, 0.256)
Pb (0.000, 0.742, 0.743)
Pb (0.000, 0.258, 0.257)
Pb (0.500, 0.000, 0.500)
Pb (0.000, 0.257, 0.744)
Pb (0.500, 0.500, 0.000)
Li (0.500, 0.500, 0.500)

Output
Crystal system   monoclinic
DFT total energy   -39.033 eV/f.u.

Entry 11:
Computed, not measured: a relaxed RbZnHg6 crystal at the PBE level of DFT.

abc: 7.600 7.600 6.554
angles: 54.56 54.56 60.00
Positions (direct):
Hg (0.465, 0.870, 0.795)
Hg (0.870, 0.465, 0.795)
Hg (0.130, 0.130, 0.205)
Hg (0.535, 0.130, 0.205)
Hg (0.130, 0.535, 0.205)
Hg (0.870, 0.870, 0.795)
Rb (0.500, 0.500, 0.500)
Zn (0.000, 0.000, 0.000)

Output
Crystal system   trigonal
DFT total energy   -4.716 eV/f.u.

Entry 12:
Computed, not measured: a relaxed Cs2AgH3 crystal at the PBE level of DFT.

abc: 7.490 7.490 8.174
angles: 107.48 107.48 110.14
Positions (direct):
Cs (0.250, 0.750, 0.500)
Cs (0.750, 0.250, 0.500)
Cs (0.740, 0.740, 0.000)
Cs (0.260, 0.260, 0.000)
H (0.480, 0.242, 0.723)
H (0.758, 0.520, 0.277)
H (0.242, 0.480, 0.723)
H (0.845, 0.845, 0.690)
H (0.155, 0.155, 0.310)
H (0.520, 0.758, 0.277)
Ag (0.281, 0.281, 0.563)
Ag (0.719, 0.719, 0.437)

Output
Crystal system   orthorhombic
DFT total energy   -15.283 eV/f.u.

Entry 13:
Computed, not measured: a relaxed CrCd2Ir crystal at the PBE level of DFT.

abc: 5.074 5.074 5.074
angles: 132.75 132.75 69.05
Positions (direct):
Ir (0.750, 0.250, 0.500)
Cd (0.000, 0.000, 0.000)
Cd (0.500, 0.500, 0.000)
Cr (0.250, 0.750, 0.500)

Output
Crystal system   tetragonal
Energy above the lowest structure with this stoichiometry   55 kJ/mol of formula units

Entry 14:
Computed, not measured: a relaxed AcLa2In crystal at the PBE level of DFT.

abc: 3.852 3.852 9.572
angles: 90.00 90.00 90.00
Positions (direct):
La (0.000, 0.000, 0.782)
La (0.000, 0.000, 0.218)
Ac (0.500, 0.500, 0.500)
In (0.500, 0.500, 0.000)

Output
Crystal system   tetragonal
Energy above the lowest structure with this stoichiometry   4 kJ/mol of formula units

Entry 15:
Computed, not measured: a relaxed ThAlFe2Ge4 crystal at the PBE level of DFT.

abc: 3.639 3.639 11.019
angles: 90.00 90.00 90.00
Positions (direct):
Fe (0.500, 0.500, 0.394)
Fe (0.500, 0.500, 0.606)
Ge (0.500, 0.000, 0.766)
Ge (0.500, 0.000, 0.234)
Ge (0.000, 0.500, 0.234)
Ge (0.000, 0.500, 0.766)
Th (0.000, 0.000, 0.000)
Al (0.000, 0.000, 0.500)

Output
Crystal system   tetragonal
DFT total energy   -46.372 eV/f.u.

Entry 16:
Computed, not measured: a relaxed HfSbAsI2 crystal at the PBE level of DFT.

abc: 5.391 5.391 5.642
angles: 90.00 90.00 90.00
Positions (direct):
I (0.000, 0.500, 0.000)
I (0.500, 0.000, 0.000)
As (0.000, 0.000, 0.000)
Sb (0.000, 0.000, 0.500)
Hf (0.500, 0.500, 0.500)

Output
Formation energy without anion corrections   846.9 meV per atom
Crystal system   tetragonal
Energy above the lowest structure with this stoichiometry   243 kJ/mol of formula units

Entry 17:
Computed, not measured: a relaxed LiLaTe crystal at the PBE level of DFT.

abc: 4.551 4.551 4.287
angles: 90.00 90.00 120.00
Positions (direct):
Te (0.333, 0.667, 0.500)
La (0.000, 0.000, 0.000)
Li (0.667, 0.333, 0.500)

Output
Formation energy without anion corrections   -1044.7 meV per atom
Crystal system   hexagonal
Energy above the lowest structure with this stoichiometry   0 kJ/mol of formula units

Entry 18:
Computed, not measured: a relaxed CsCa2BeN crystal at the PBE level of DFT.

abc: 5.538 6.283 5.538
angles: 90.00 90.00 90.00
Positions (direct):
N (0.500, 0.500, 0.500)
Cs (0.000, 0.500, 0.000)
Ca (0.500, 0.000, 0.000)
Ca (0.000, 0.000, 0.500)
Be (0.000, 0.000, 0.000)

Output
Formation energy without anion corrections   1268.1 meV per atom
Crystal system   tetragonal

Entry 19:
Computed, not measured: a relaxed TaPb2Se crystal at the PBE level of DFT.

abc: 10.708 10.708 10.708
angles: 17.43 17.43 17.43
Positions (direct):
Se (0.250, 0.250, 0.250)
Ta (0.750, 0.750, 0.750)
Pb (0.003, 0.003, 0.003)
Pb (0.497, 0.497, 0.497)

Output
Formation energy without anion corrections   519.2 meV per atom
Crystal system   trigonal

Entry 20:
Computed, not measured: a relaxed La2BeNi crystal at the PBE level of DFT.

abc: 5.054 5.054 3.584
angles: 90.00 90.00 90.00
Positions (direct):
Ni (0.500, 0.000, 0.500)
La (0.500, 0.500, 0.000)
La (0.000, 0.000, 0.000)
Be (0.000, 0.500, 0.500)

Output
Crystal system   tetragonal
DFT total energy   -19.330 eV/f.u.